Rb2CuSbCl6 GGA-PBE optimized geometry; SG = I4/m, No. 87; ρ = 3.42 Mg/m³; uncorrected energy = -3.31 eV/atom; crystal system = tetragonal
1.0
-3.576 3.576 5.403
3.576 -3.576 5.403
3.576 3.576 -5.403
Cl Rb Cu Sb
6 2 1 1
direct
0.754 0.754 0.000
0.782 0.693 0.475
0.246 0.246 0.000
0.693 0.218 0.911
0.218 0.307 0.525
0.307 0.782 0.089
0.750 0.250 0.500
0.250 0.750 0.500
0.500 0.500 0.000
0.000 0.000 0.000